Computed, not measured: a relaxed structure of AcDy6Ho3 at the GGA-PBE level of DFT.

Cell lengths 9.8214, 9.8214, 12.0781 Å; angles 90.00, 90.00, 120.00 degrees
Space group R32 (No. 155, hexagonal axes)
Asymmetric unit:
Ac  0.0000  0.0000  0.0000 (multiplicity 3)
Dy  0.0000  0.3466  0.0000 (multiplicity 9)
Dy  0.0000  0.6650  0.5000 (multiplicity 9)
Ho  0.0000  0.0000  0.2614 (multiplicity 6)
Ho  0.0000  0.0000  0.5000 (multiplicity 3)

formation energy: 314 meV/atom
V: 33.6 Å³/atom
calculated density: 8.38 g/cm3
Fermi-level density of states: 2.043 states/eV per atom
polymorph energy (0 for the lowest one): 169 meV/atom

Computed, not measured: a relaxed structure of TbDy2Y at the GGA-PBE level of DFT.

Cell lengths 8.0260, 8.0260, 8.0260 Å; angles 90.00, 90.00, 90.00 degrees
Space group Fm-3m (No. 225)
Asymmetric unit:
Tb  0.0000  0.0000  0.0000 (multiplicity 4)
Dy  0.2500  0.2500  0.2500 (multiplicity 8)
Y  0.0000  0.0000  0.5000 (multiplicity 4)

formation energy: 143 meV/atom
V: 32.3 Å³/atom
calculated density: 7.36 g/cm3
Fermi-level density of states: 2.671 states/eV per atom
polymorph energy (0 for the lowest one): 136 meV/atom

Computed, not measured: a relaxed structure of Hg2RuN at the GGA-PBE level of DFT.

Cell lengths 9.4219, 9.4219, 3.7106 Å; angles 90.00, 90.00, 90.00 degrees
Space group I-42d (No. 122)
Asymmetric unit:
Hg  0.1239  0.7500  0.1250 (multiplicity 8)
Ru  0.0000  0.0000  0.5000 (multiplicity 4)
N  0.0000  0.0000  0.0000 (multiplicity 4)

V: 20.6 Å³/atom
raw formation energy: 708 meV per atom
calculated density: 10.41 g/cm3
Fermi-level density of states: 0.502 states/eV per atom

Computed, not measured: a relaxed structure of Na2PrMoN4 at the GGA-PBE level of DFT.

Cell lengths 6.1357, 6.1357, 6.5417 Å; angles 90.00, 90.00, 90.00 degrees
Space group I-42m (No. 121)
Asymmetric unit:
Na  0.0000  0.5000  0.2500 (multiplicity 4)
Pr  0.0000  0.0000  0.0000 (multiplicity 2)
Mo  0.0000  0.0000  0.5000 (multiplicity 2)
N  0.1707  0.1707  0.3233 (multiplicity 8)

V: 15.4 Å³/atom
raw formation energy: -353 meV per atom
calculated density: 4.57 g/cm3
Fermi-level density of states: 0.454 states/eV per atom

Computed, not measured: a relaxed structure of Tc2Sb at the GGA-PBE level of DFT.

Cell lengths 3.8555, 14.0246, 3.8857 Å; angles 90.00, 90.00, 90.00 degrees
Space group Cmcm (No. 63)
Asymmetric unit:
Tc  0.0000  0.1092  0.2500 (multiplicity 4)
Tc  0.0000  0.2492  0.7500 (multiplicity 4)
Sb  0.0000  0.4015  0.2500 (multiplicity 4)

V: 17.5 Å³/atom
raw formation energy: 262 meV per atom
calculated density: 10.05 g/cm3
Fermi-level density of states: 0.775 states/eV per atom
polymorph energy (0 for the lowest one): 156 meV/atom

Computed, not measured: a relaxed structure of BeBiF3 at the GGA-PBE level of DFT.

Cell lengths 4.6141, 4.6141, 4.6141 Å; angles 90.00, 90.00, 90.00 degrees
Space group Pm-3m (No. 221)
Asymmetric unit:
Be  0.0000  0.0000  0.0000 (multiplicity 1)
Bi  0.5000  0.5000  0.5000 (multiplicity 1)
F  0.0000  0.5000  0.5000 (multiplicity 3)

V: 19.6 Å³/atom
raw formation energy: -1187 meV per atom
calculated density: 4.65 g/cm3
Fermi-level density of states: 0.000 states/eV per atom
polymorph energy (0 for the lowest one): 459 meV/atom